No. 1
## K3Dy3NpO8 (PBE)

Data for K3Dy3NpO8 after structural relaxation.

Results
* uncorrected formation energy: -2.80 eV/atom

a b c (Å): 7.5076 7.5076 7.5076
angles (deg): 55.31 55.31 55.31
Atoms (fractional coordinates):
K1 0.0000 0.5000 0.5000
K2 0.5000 0.0000 0.5000
K3 0.5000 0.5000 0.0000
Dy1 0.0000 0.0000 0.5000
Dy2 0.0000 0.5000 0.0000
Dy3 0.5000 0.0000 0.0000
Np1 0.5000 0.5000 0.5000
O1 0.2268 0.2268 0.2268
O2 0.2350 0.7200 0.7200
O3 0.2800 0.2800 0.7650
O4 0.2800 0.7650 0.2800
O5 0.7200 0.2350 0.7200
O6 0.7200 0.7200 0.2350
O7 0.7650 0.2800 0.2800
O8 0.7732 0.7732 0.7732


No. 2
## K2DyNpO4 (PBE)

Data for K2DyNpO4 after structural relaxation.

Results
* uncorrected formation energy: -2.47 eV/atom

a b c (Å): 6.1072 3.5282 6.6123
angles (deg): 90.00 108.05 90.00
Atoms (fractional coordinates):
K1 0.0000 0.0000 0.0000
K2 0.5000 0.5000 0.0000
Dy1 0.0000 0.5000 0.5000
Np1 0.5000 0.0000 0.5000
O1 0.2256 0.0000 0.6866
O2 0.2690 0.5000 0.3127
O3 0.7310 0.5000 0.6873
O4 0.7744 0.0000 0.3134


No. 3
## K4DyNp3S8 (PBE)

Data for K4DyNp3S8 after structural relaxation.

Results
* uncorrected formation energy: -1.51 eV/atom

a b c (Å): 8.7383 8.7383 8.7383
angles (deg): 55.78 55.78 55.78
Atoms (fractional coordinates):
K1 0.0000 0.0000 0.0000
K2 0.0000 0.5000 0.5000
K3 0.5000 0.0000 0.5000
K4 0.5000 0.5000 0.0000
Dy1 0.5000 0.5000 0.5000
Np1 0.0000 0.0000 0.5000
Np2 0.0000 0.5000 0.0000
Np3 0.5000 0.0000 0.0000
S1 0.2327 0.2327 0.2327
S2 0.2358 0.7330 0.7330
S3 0.2670 0.2670 0.7642
S4 0.2670 0.7642 0.2670
S5 0.7330 0.2358 0.7330
S6 0.7330 0.7330 0.2358
S7 0.7642 0.2670 0.2670
S8 0.7673 0.7673 0.7673


No. 4
## K2Dy2NpS6 (PBE)

Data for K2Dy2NpS6 after structural relaxation.

Results
* uncorrected formation energy: -1.72 eV/atom

a b c (Å): 6.9535 6.9535 7.8813
angles (deg): 98.61 98.61 119.89
Atoms (fractional coordinates):
K1 0.1688 0.8312 0.0000
K2 0.8312 0.1688 0.0000
Dy1 0.3338 0.6662 0.5000
Dy2 0.6662 0.3338 0.5000
Np1 0.0000 0.0000 0.5000
S1 0.0636 0.3937 0.6948
S2 0.2597 0.2597 0.3054
S3 0.3937 0.0636 0.6948
S4 0.6063 0.9364 0.3052
S5 0.7403 0.7403 0.6946
S6 0.9364 0.6063 0.3052


No. 5
## K3Dy3NpS8 (PBE)

Data for K3Dy3NpS8 after structural relaxation.

Results
* uncorrected formation energy: -1.77 eV/atom

a b c (Å): 8.8066 8.8066 8.8066
angles (deg): 54.46 54.46 54.46
Atoms (fractional coordinates):
K1 0.0000 0.5000 0.5000
K2 0.5000 0.0000 0.5000
K3 0.5000 0.5000 0.0000
Dy1 0.0000 0.0000 0.5000
Dy2 0.0000 0.5000 0.0000
Dy3 0.5000 0.0000 0.0000
Np1 0.5000 0.5000 0.5000
S1 0.2333 0.2333 0.2333
S2 0.2374 0.7288 0.7288
S3 0.2712 0.2712 0.7626
S4 0.2712 0.7626 0.2712
S5 0.7288 0.2374 0.7288
S6 0.7288 0.7288 0.2374
S7 0.7626 0.2712 0.2712
S8 0.7667 0.7667 0.7667


No. 6
## K4Dy3NpS8 (PBE)

Data for K4Dy3NpS8 after structural relaxation.

Results
* uncorrected formation energy: -1.75 eV/atom

a b c (Å): 8.7378 8.7378 8.7378
angles (deg): 55.54 55.54 55.54
Atoms (fractional coordinates):
K1 0.0000 0.0000 0.0000
K2 0.0000 0.5000 0.5000
K3 0.5000 0.0000 0.5000
K4 0.5000 0.5000 0.0000
Dy1 0.0000 0.0000 0.5000
Dy2 0.0000 0.5000 0.0000
Dy3 0.5000 0.0000 0.0000
Np1 0.5000 0.5000 0.5000
S1 0.2308 0.7355 0.7355
S2 0.2340 0.2340 0.2340
S3 0.2645 0.2645 0.7692
S4 0.2645 0.7692 0.2645
S5 0.7355 0.2308 0.7355
S6 0.7355 0.7355 0.2308
S7 0.7660 0.7660 0.7660
S8 0.7692 0.2645 0.2645